Material: HfCo2Bi
Method: DFT, PBE-GGA
State: relaxed

a b c (Å): 6.423 6.423 6.423
angles (deg): 90.00 90.00 90.00
Space group F-43m (No. 216)
Inequivalent atoms, fractional coordinates:
Hf1 0.000 0.000 0.000 (multiplicity 4)
Co1 0.000 0.000 0.500 (multiplicity 4)
Co2 0.250 0.250 0.250 (multiplicity 4)
Bi1 0.250 0.250 0.750 (multiplicity 4)

Computed properties:
Its raw total energy is -6.652 eV/atom. For the total magnetization, the calculation gives 6.5 Bohr magnetons per cell.

Material: HfCoBiIr
Method: DFT, PBE-GGA
State: relaxed

a b c (Å): 6.588 6.588 6.588
angles (deg): 90.00 90.00 90.00
Space group F-43m (No. 216)
Inequivalent atoms, fractional coordinates:
Hf1 0.000 0.000 0.000 (multiplicity 4)
Co1 0.000 0.000 0.500 (multiplicity 4)
Bi1 0.250 0.250 0.250 (multiplicity 4)
Ir1 0.250 0.250 0.750 (multiplicity 4)

Computed properties:
For the total magnetization, the calculation gives 0.0 Bohr magnetons per cell. As for the polymorph energy (0 for the lowest one): 0.2878 eV/atom.

Material: HfCoBiIr
Method: DFT, PBE-GGA
State: relaxed

a b c (Å): 6.571 6.571 6.571
angles (deg): 90.00 90.00 90.00
Space group F-43m (No. 216)
Inequivalent atoms, fractional coordinates:
Hf1 0.000 0.000 0.000 (multiplicity 4)
Co1 0.250 0.250 0.750 (multiplicity 4)
Bi1 0.000 0.000 0.500 (multiplicity 4)
Ir1 0.250 0.250 0.250 (multiplicity 4)

Computed properties:
For the total magnetization, the calculation gives 5.1 Bohr magnetons per cell. As for the polymorph energy (0 for the lowest one): 0.0000 eV/atom.